[1]
# SrLi3H

Crystalline SrLi3H at its relaxed geometry (PBEsol, the Alexandria database).

a b c (Å): 4.8603 4.8603 4.8603
angles (deg): 90.00 90.00 90.00
Closest atoms and distances in Å follow each position.
Positions (direct):
Li  0.0000  0.5000  0.0000  2 H 2.43
Li  0.0000  0.0000  0.5000  2 H 2.43
Sr  0.5000  0.5000  0.5000  12 Li 3.44
Li  0.5000  0.0000  0.0000  2 H 2.43
H  0.0000  0.0000  0.0000  6 Li 2.43

Output
For the total energy, the calculation gives -2.047 eV/atom. The space group is Pm-3m (221). As for the magnetization: 0.00 μB per formula unit. Its density of states at the Fermi level is 3.8 states/eV/f.u.

***

[2]
# YMgTl

Crystalline YMgTl at its relaxed geometry (PBEsol, the Alexandria database).

a b c (Å): 3.5634 4.8974 4.8974
angles (deg): 120.00 90.00 90.00
Closest atoms and distances in Å follow each position.
Positions (direct):
Y  0.3333  0.6667  0.3333  6 Tl 3.34, 6 Mg 3.34, 2 Y 3.56
Mg  0.8329  0.0000  0.0000  3 Tl 2.83
Tl  0.8338  0.3333  0.6667  3 Mg 2.83

Output
The space group is P-6m2 (187). As for the formation energy: -329 meV/atom. As for the magnetization: 0.00 μB per formula unit. Its density of states at the Fermi level is 2.3 states/eV/f.u.

***

[3]
# CsUAgSe3

Crystalline CsUAgSe3 at its relaxed geometry (PBEsol, the Alexandria database).

a b c (Å): 4.1568 8.1062 10.6443
angles (deg): 90.00 90.00 104.86
Closest atoms and distances in Å follow each position.
Positions (direct):
Se  0.3801  0.7602  0.5388  1 Ag 2.57, 2 U 2.83
Se  0.0607  0.1214  0.7500  2 Ag 2.62, 2 U 2.83
Ag  0.5408  0.0817  0.2500  4 Se 2.57-2.62
Se  0.6199  0.2398  0.4612  1 Ag 2.57, 2 U 2.83
Se  0.3801  0.7602  0.9612  1 Ag 2.57, 2 U 2.83
Se  0.6199  0.2398  0.0388  1 Ag 2.57, 2 U 2.83
Cs  0.2549  0.5098  0.2500  8 Se 3.56-3.72, 2 Ag 3.95
U  0.0000  0.0000  0.0000  6 Se 2.83
U  0.0000  0.0000  0.5000  6 Se 2.83
Ag  0.4592  0.9183  0.7500  4 Se 2.57-2.62
Cs  0.7451  0.4902  0.7500  8 Se 3.56-3.72, 2 Ag 3.95
Se  0.9393  0.8786  0.2500  2 Ag 2.62, 2 U 2.83

Output
The space group is Cmcm (63). Its raw formation energy is -5.80 eV per formula unit. As for the magnetization: 2.00 μB per formula unit. Its density of states at the Fermi level is 8.2 states/eV/f.u.

***

[4]
# FeNiMo2

Crystalline FeNiMo2 at its relaxed geometry (PBEsol, the Alexandria database).

a b c (Å): 2.6516 4.2112 4.5162
angles (deg): 90.00 90.21 90.00
Closest atoms and distances in Å follow each position.
Positions (direct):
Mo  0.8720  0.5000  0.3108  4 Fe 2.56-2.69, 4 Ni 2.57, 4 Mo 2.65-2.69
Mo  0.8784  0.0000  0.9402  4 Ni 2.57-2.68, 4 Fe 2.57-2.58, 4 Mo 2.65-2.69
Ni  0.3758  0.0000  0.4537  8 Mo 2.57-2.68, 2 Fe 2.61, 2 Ni 2.65
Fe  0.3738  0.5000  0.7953  8 Mo 2.56-2.69, 2 Ni 2.61, 2 Fe 2.65

Output
The space group is Pm (6). The value obtained for the energy above the most stable polymorph in this dataset is 0.025 eV per atom. As for the formation energy: 48 meV/atom. As for the magnetization: 0.00 μB per formula unit. Its density of states at the Fermi level is 5.0 states/eV/f.u.

***

[5]
# Tl2AgPt

Crystalline Tl2AgPt at its relaxed geometry (PBEsol, the Alexandria database).

a b c (Å): 3.6565 4.2786 5.5926
angles (deg): 90.00 109.08 90.00
Closest atoms and distances in Å follow each position.
Positions (direct):
Pt  0.5428  0.5000  0.0857  2 Ag 2.75, 7 Tl 2.84-3.06
Ag  0.7061  0.0000  0.4123  2 Pt 2.75, 7 Tl 2.86-3.04
Tl  0.9769  0.0000  0.9537  3 Ag 2.86-3.04, 4 Pt 2.90
Tl  0.2744  0.5000  0.5488  3 Pt 2.84-3.06, 4 Ag 2.91

Output
The space group is Amm2 (38). As for the formation energy: 69 meV/atom. As for the magnetization: 0.00 μB per formula unit. Its density of states at the Fermi level is 1.7 states/eV/f.u.

***

[6]
# ScSiIr

Crystalline ScSiIr at its relaxed geometry (PBEsol, the Alexandria database).

a b c (Å): 4.1616 4.1616 4.1616
angles (deg): 60.00 60.00 60.00
Closest atoms and distances in Å follow each position.
Positions (direct):
Si  0.2500  0.2500  0.2500  4 Ir 2.55, 4 Sc 2.55
Sc  0.5000  0.5000  0.5000  4 Si 2.55
Ir  0.0000  0.0000  0.0000  4 Si 2.55

Output
The space group is F-43m (216). Its raw formation energy is -1.68 eV per formula unit. As for the magnetization: 0.00 μB per formula unit. Its density of states at the Fermi level is 3.5 states/eV/f.u.

***

[7]
# CrNi5

Crystalline CrNi5 at its relaxed geometry (PBEsol, the Alexandria database).

a b c (Å): 2.4576 4.7074 5.7920
angles (deg): 104.58 90.00 105.13
Closest atoms and distances in Å follow each position.
Positions (direct):
Ni  0.7215  0.4429  0.9425  9 Ni 2.43-2.46, 3 Cr 2.45-2.48
Cr  0.0012  0.0025  0.0008  10 Ni 2.41-2.48, 2 Cr 2.46
Ni  0.6659  0.3318  0.3321  2 Cr 2.44, 10 Ni 2.44-2.48
Ni  0.3903  0.7806  0.2747  2 Cr 2.42, 10 Ni 2.44-2.48
Ni  0.0531  0.1063  0.6127  1 Cr 2.41, 11 Ni 2.43-2.49
Ni  0.3346  0.6692  0.6706  10 Ni 2.43-2.49, 2 Cr 2.44

Output
The space group is Cm (8). As for the formation energy: 27 meV/atom. As for the magnetization: 0.09 μB per formula unit. Its density of states at the Fermi level is 10.6 states/eV/f.u.

***

[8]
# BeCuAg3

Crystalline BeCuAg3 at its relaxed geometry (PBEsol, the Alexandria database).

a b c (Å): 4.6207 4.6207 4.6207
angles (deg): 90.00 90.00 90.00
Closest atoms and distances in Å follow each position.
Positions (direct):
Be  0.5000  0.5000  0.5000  12 Ag 3.27
Ag  0.0000  0.0000  0.5000  2 Cu 2.31
Cu  0.0000  0.0000  0.0000  6 Ag 2.31
Ag  0.0000  0.5000  0.0000  2 Cu 2.31
Ag  0.5000  0.0000  0.0000  2 Cu 2.31

Output
The space group is Pm-3m (221). As for the formation energy: 1068 meV/atom. As for the magnetization: 0.00 μB per formula unit. Its density of states at the Fermi level is 1.8 states/eV/f.u.

***

[9]
# Ba2TlRhAu

Crystalline Ba2TlRhAu at its relaxed geometry (PBEsol, the Alexandria database).

a b c (Å): 5.1160 5.9835 5.9835
angles (deg): 90.00 90.00 90.00
Closest atoms and distances in Å follow each position.
Positions (direct):
Rh  0.5000  0.5000  0.5000  8 Ba 3.94, 4 Tl 4.23
Au  0.0000  0.0000  0.0000  2 Tl 2.56
Tl  0.5000  0.0000  0.0000  2 Au 2.56
Ba  0.0000  0.5000  0.0000  2 Au 2.99
Ba  0.0000  0.0000  0.5000  2 Au 2.99

Output
The space group is P4/mmm (123). As for the formation energy: 358 meV/atom. As for the magnetization: 0.00 μB per formula unit. Its density of states at the Fermi level is 3.8 states/eV/f.u.

***

[10]
# BeSeCl2

Crystalline BeSeCl2 at its relaxed geometry (PBEsol, the Alexandria database).

a b c (Å): 3.0564 5.0445 6.6796
angles (deg): 103.52 103.23 90.00
Closest atoms and distances in Å follow each position.
Positions (direct):
Se  0.6474  0.6155  0.2947  2 Be 2.41, 2 Cl 2.53-2.56
Cl  0.8941  0.9209  0.7882  2 Be 2.05
Cl  0.6722  0.1342  0.3445  2 Se 2.53-2.56, 2 Be 2.83
Be  0.2863  0.8294  0.5726  2 Cl 2.05

Output
The space group is Cm (8). The value obtained for the energy above the most stable polymorph in this dataset is 0.015 eV per atom. Its raw formation energy is -1.92 eV per formula unit. As for the magnetization: 0.00 μB per formula unit. Its density of states at the Fermi level is 0.9 states/eV/f.u.

***

[11]
# SrFe2Ru

Crystalline SrFe2Ru at its relaxed geometry (PBEsol, the Alexandria database).

a b c (Å): 3.1592 3.1592 6.9336
angles (deg): 90.00 90.00 90.00
Closest atoms and distances in Å follow each position.
Positions (direct):
Sr  0.5000  0.5000  0.5000  4 Sr 3.16, 8 Fe 3.23, 2 Ru 3.47
Fe  0.0000  0.0000  0.8364  1 Fe 2.27, 4 Ru 2.51
Fe  0.0000  0.0000  0.1636  1 Fe 2.27, 4 Ru 2.51
Ru  0.5000  0.5000  0.0000  8 Fe 2.51

Output
The space group is P4/mmm (123). As for the formation energy: 592 meV/atom. As for the magnetization: 4.97 μB per formula unit. Its density of states at the Fermi level is 4.9 states/eV/f.u.

***

[12]
# LiZnRh2

Crystalline LiZnRh2 at its relaxed geometry (PBEsol, the Alexandria database).

a b c (Å): 2.7300 4.4094 4.6676
angles (deg): 101.38 107.01 89.99
Closest atoms and distances in Å follow each position.
Positions (direct):
Rh  0.2492  0.7777  0.4983  5 Rh 2.56-2.73, 4 Li 2.57-2.61, 2 Zn 2.66
Rh  0.9928  0.9720  0.9862  5 Rh 2.56-2.73, 4 Zn 2.59-2.60, 3 Li 2.76-2.77
Zn  0.5073  0.4775  0.0144  3 Li 2.52-2.66, 6 Rh 2.59-2.66, 2 Zn 2.73
Li  0.7506  0.2728  0.5012  3 Zn 2.52-2.66, 7 Rh 2.57-2.77, 2 Li 2.73

Output
The space group is Cm (8). As for the formation energy: -181 meV/atom. As for the magnetization: 0.00 μB per formula unit. Its density of states at the Fermi level is 3.4 states/eV/f.u.